1.
# Y3ReS

A relaxed structure of Y3ReS (GGA-PBE, Alexandria).

energy relative to the elements, uncorrected	0.204	eV/atom

```
data_Y3ReS
_cell_length_a 5.371
_cell_length_b 5.371
_cell_length_c 5.371
_cell_angle_alpha 90.00
_cell_angle_beta 90.00
_cell_angle_gamma 90.00
_symmetry_space_group_name_H-M 'P m -3 m'
_symmetry_Int_Tables_number 221
_symmetry_space_group_name_Hall '-P 4 2 3'
loop_
_atom_site_label
_atom_site_type_symbol
_atom_site_fract_x
_atom_site_fract_y
_atom_site_fract_z
_atom_site_occupancy
Y1 Y 0.000 0.000 0.500 1
Re1 Re 0.000 0.000 0.000 1
S1 S 0.500 0.500 0.500 1
```


2.
# YReS3

A relaxed structure of YReS3 (GGA-PBE, Alexandria).

energy relative to the elements, uncorrected	-0.397	eV/atom
ΔE to the lowest computed polymorph	0	meV/atom

```
data_YReS3
_cell_length_a 4.660
_cell_length_b 4.660
_cell_length_c 4.660
_cell_angle_alpha 90.00
_cell_angle_beta 90.00
_cell_angle_gamma 90.00
_symmetry_space_group_name_H-M 'P m -3 m'
_symmetry_Int_Tables_number 221
_symmetry_space_group_name_Hall '-P 4 2 3'
loop_
_atom_site_label
_atom_site_type_symbol
_atom_site_fract_x
_atom_site_fract_y
_atom_site_fract_z
_atom_site_occupancy
Y1 Y 0.000 0.000 0.000 1
Re1 Re 0.500 0.500 0.500 1
S1 S 0.000 0.500 0.500 1
```


3.
# YReS3

A relaxed structure of YReS3 (GGA-PBE, Alexandria).

energy relative to the elements, uncorrected	0.691	eV/atom
ΔE to the lowest computed polymorph	1089	meV/atom

```
data_YReS3
_cell_length_a 5.169
_cell_length_b 5.169
_cell_length_c 5.169
_cell_angle_alpha 90.00
_cell_angle_beta 90.00
_cell_angle_gamma 90.00
_symmetry_space_group_name_H-M 'P m -3 m'
_symmetry_Int_Tables_number 221
_symmetry_space_group_name_Hall '-P 4 2 3'
loop_
_atom_site_label
_atom_site_type_symbol
_atom_site_fract_x
_atom_site_fract_y
_atom_site_fract_z
_atom_site_occupancy
Y1 Y 0.000 0.000 0.000 1
Re1 Re 0.500 0.500 0.500 1
S1 S 0.000 0.000 0.500 1
```


4.
# Zn3ReS

A relaxed structure of Zn3ReS (GGA-PBE, Alexandria).

energy relative to the elements, uncorrected	1.215	eV/atom
ΔE to the lowest computed polymorph	26	meV/atom

```
data_Zn3ReS
_cell_length_a 4.495
_cell_length_b 4.495
_cell_length_c 4.495
_cell_angle_alpha 90.00
_cell_angle_beta 90.00
_cell_angle_gamma 90.00
_symmetry_space_group_name_H-M 'P m -3 m'
_symmetry_Int_Tables_number 221
_symmetry_space_group_name_Hall '-P 4 2 3'
loop_
_atom_site_label
_atom_site_type_symbol
_atom_site_fract_x
_atom_site_fract_y
_atom_site_fract_z
_atom_site_occupancy
Zn1 Zn 0.000 0.000 0.500 1
Re1 Re 0.500 0.500 0.500 1
S1 S 0.000 0.000 0.000 1
```


5.
# Zn3ReS

A relaxed structure of Zn3ReS (GGA-PBE, Alexandria).

energy relative to the elements, uncorrected	1.189	eV/atom
ΔE to the lowest computed polymorph	0	meV/atom

```
data_Zn3ReS
_cell_length_a 4.925
_cell_length_b 4.925
_cell_length_c 4.925
_cell_angle_alpha 90.00
_cell_angle_beta 90.00
_cell_angle_gamma 90.00
_symmetry_space_group_name_H-M 'P m -3 m'
_symmetry_Int_Tables_number 221
_symmetry_space_group_name_Hall '-P 4 2 3'
loop_
_atom_site_label
_atom_site_type_symbol
_atom_site_fract_x
_atom_site_fract_y
_atom_site_fract_z
_atom_site_occupancy
Zn1 Zn 0.000 0.000 0.500 1
Re1 Re 0.000 0.000 0.000 1
S1 S 0.500 0.500 0.500 1
```


6.
# ZnRe3S

A relaxed structure of ZnRe3S (GGA-PBE, Alexandria).

energy relative to the elements, uncorrected	1.015	eV/atom

```
data_ZnRe3S
_cell_length_a 4.350
_cell_length_b 4.350
_cell_length_c 4.350
_cell_angle_alpha 90.00
_cell_angle_beta 90.00
_cell_angle_gamma 90.00
_symmetry_space_group_name_H-M 'P m -3 m'
_symmetry_Int_Tables_number 221
_symmetry_space_group_name_Hall '-P 4 2 3'
loop_
_atom_site_label
_atom_site_type_symbol
_atom_site_fract_x
_atom_site_fract_y
_atom_site_fract_z
_atom_site_occupancy
Zn1 Zn 0.000 0.000 0.000 1
Re1 Re 0.000 0.500 0.500 1
S1 S 0.500 0.500 0.500 1
```